The following is a PBE calculation of a relaxed structure of HfAl2TlBi, from Alexandria via LeMat-Bulk.

Calculated values
Energy of formation in eV per atom: 1.1689
Total magnetic moment in Bohr magnetons per cell: 0.00
N(E_F) in states/eV per cell: 4.71

Lattice parameters (Å, degrees): 5.029 5.915 5.029 90.00 90.00 90.00
Sites, in units of the cell vectors:
Tl  0.000  0.000  0.000
Al  0.000  0.000  0.500
Al  0.500  0.000  0.000
Bi  0.000  0.500  0.000
Hf  0.500  0.500  0.500

The following is a PBE calculation of a relaxed structure of Mn3SiH, from Alexandria via LeMat-Bulk.

Calculated values
Total magnetic moment in Bohr magnetons per cell: 1.85
N(E_F) in states/eV per cell: 16.75
Distance to the lowest polymorph of the same formula in eV/atom: 0.296

Lattice parameters (Å, degrees): 6.436 6.436 6.436 40.53 40.53 40.53
Sites, in units of the cell vectors:
Mn  0.757  0.458  0.122
H  0.840  0.840  0.840
Mn  0.458  0.122  0.757
Mn  0.122  0.757  0.458
H  0.160  0.160  0.160
Mn  0.243  0.542  0.878
Si  0.332  0.332  0.332
Mn  0.542  0.878  0.243
Mn  0.878  0.243  0.542
Si  0.668  0.668  0.668